Computed, not measured: a relaxed structure of Pm2DyIr at the PBE-GGA level of DFT.

- formation energy (eV per atom) = -0.5021
- symmetry = Pnma
- energy above the lowest structure with this stoichiometry (eV per atom) = 0.000
- energy (eV per atom) = -6.24

Cell: 7.2960 9.7466 6.4143 Å, 90.00 90.00 90.00°
Sites, in units of the cell vectors:
Pm (0.1782, 0.0650, 0.1733)
Pm (0.1782, 0.4350, 0.1733)
Pm (0.3218, 0.5650, 0.6733)
Pm (0.3218, 0.9350, 0.6733)
Pm (0.6782, 0.0650, 0.3267)
Pm (0.6782, 0.4350, 0.3267)
Pm (0.8218, 0.5650, 0.8267)
Pm (0.8218, 0.9350, 0.8267)
Dy (0.0373, 0.2500, 0.6451)
Dy (0.4627, 0.7500, 0.1451)
Dy (0.5373, 0.2500, 0.8549)
Dy (0.9627, 0.7500, 0.3549)
Ir (0.1195, 0.7500, 0.9521)
Ir (0.3805, 0.2500, 0.4521)
Ir (0.6195, 0.7500, 0.5479)
Ir (0.8805, 0.2500, 0.0479)